[1]
Material: TaPt4Rh
Method: DFT, SCAN
State: PBEsol geometry

Cell and atoms, written as POSCAR:
```
TaPt4Rh
1.0
0.0000 3.6152 3.6152
3.6152 0.0000 3.6152
3.6152 3.6152 0.0000
Ta Pt Rh
1 4 1
Cartesian
0.0000 0.0000 0.0000
2.7137 2.7137 2.7137
4.5168 4.5168 2.7137
4.5168 2.7137 4.5168
2.7137 4.5168 4.5168
5.4229 5.4229 5.4229
```

Computed properties:
crystal system	cubic
final energy	-63.705	eV per atom
N(E_F)	4.470	states/eV/f.u.


[2]
Material: TcPt2Rh
Method: DFT, SCAN
State: PBEsol geometry

Cell and atoms, written as POSCAR:
```
TcPt2Rh
1.0
3.8077 0.0000 0.0000
0.0000 3.8077 0.0000
0.0000 0.0000 7.8396
Tc Pt Rh
2 4 2
Cartesian
0.0000 0.0000 0.0000
1.9038 1.9038 3.9198
0.0000 1.9038 1.9599
0.0000 1.9038 5.8797
1.9038 0.0000 1.9599
1.9038 0.0000 5.8797
0.0000 0.0000 3.9198
1.9038 1.9038 0.0000
```

Computed properties:
crystal system	tetragonal
distance to the lowest polymorph of the same formula	55	meV per atom
final energy	-52.437	eV per atom
N(E_F)	4.092	states/eV/f.u.


[3]
Material: TcPt2Rh
Method: DFT, SCAN
State: PBEsol geometry

Cell and atoms, written as POSCAR:
```
TcPt2Rh
1.0
9.0491 0.0000 0.0000
0.0000 2.7119 0.0000
-0.8059 0.0000 4.6419
Tc Pt Rh
2 4 2
Cartesian
0.0000 0.0000 0.0000
4.5245 1.3559 0.0000
2.0507 1.3559 1.1421
1.6679 0.0000 3.4998
6.5753 0.0000 1.1421
6.1924 1.3559 3.4998
-0.4030 1.3559 2.3209
4.1216 0.0000 2.3209
```

Computed properties:
crystal system	monoclinic
distance to the lowest polymorph of the same formula	90	meV per atom
final energy	-52.402	eV per atom
N(E_F)	4.544	states/eV/f.u.


[4]
Material: TcPt2Rh
Method: DFT, SCAN
State: PBEsol geometry

Cell and atoms, written as POSCAR:
```
TcPt2Rh
1.0
9.0670 0.0000 0.0000
0.0000 2.6939 0.0000
-0.7910 0.0000 4.6583
Tc Pt Rh
2 4 2
Cartesian
0.0000 0.0000 0.0000
4.5335 1.3470 0.0000
-0.3729 1.3470 2.3624
2.0621 1.3470 1.1551
4.1606 0.0000 2.3624
6.5956 0.0000 1.1551
1.7109 0.0000 3.5562
6.2444 1.3470 3.5562
```

Computed properties:
crystal system	monoclinic
distance to the lowest polymorph of the same formula	29	meV per atom
final energy	-52.463	eV per atom
N(E_F)	3.750	states/eV/f.u.


[5]
Material: TcPtRh2
Method: DFT, SCAN
State: PBEsol geometry

Cell and atoms, written as POSCAR:
```
TcPtRh2
1.0
8.9882 0.0000 0.0000
0.0000 2.6832 0.0000
-0.7965 0.0000 4.5982
Tc Pt Rh
2 2 4
Cartesian
0.0000 0.0000 0.0000
4.4941 1.3416 0.0000
2.0478 1.3416 1.1695
6.5418 0.0000 1.1695
-0.3766 1.3416 2.3464
1.6696 0.0000 3.5020
4.1175 0.0000 2.3464
6.1637 1.3416 3.5020
```

Computed properties:
crystal system	monoclinic
distance to the lowest polymorph of the same formula	46	meV per atom
final energy	-43.300	eV per atom
N(E_F)	4.567	states/eV/f.u.


[6]
Material: Tc2PtRh
Method: DFT, SCAN
State: PBEsol geometry

Cell and atoms, written as POSCAR:
```
Tc2PtRh
1.0
6.1299 0.0000 0.0000
0.0000 6.1299 0.0000
0.0000 0.0000 6.1299
Tc Pt Rh
8 4 4
Cartesian
1.5325 1.5325 1.5325
1.5325 1.5325 4.5974
1.5325 4.5974 1.5325
1.5325 4.5974 4.5974
4.5974 1.5325 1.5325
4.5974 1.5325 4.5974
4.5974 4.5974 1.5325
4.5974 4.5974 4.5974
0.0000 0.0000 0.0000
0.0000 3.0650 3.0650
3.0650 0.0000 3.0650
3.0650 3.0650 0.0000
0.0000 0.0000 3.0650
0.0000 3.0650 0.0000
3.0650 0.0000 0.0000
3.0650 3.0650 3.0650
```

Computed properties:
crystal system	cubic
distance to the lowest polymorph of the same formula	636	meV per atom
final energy	-43.121	eV per atom
N(E_F)	5.309	states/eV/f.u.


[7]
Material: TcPtRh2
Method: DFT, SCAN
State: PBEsol geometry

Cell and atoms, written as POSCAR:
```
TcPtRh2
1.0
3.8277 0.0000 0.0000
0.0000 3.8277 0.0000
0.0000 0.0000 3.7836
Tc Pt Rh
1 1 2
Cartesian
0.0000 0.0000 0.0000
1.9139 1.9139 0.0000
0.0000 1.9139 1.8918
1.9139 0.0000 1.8918
```

Computed properties:
crystal system	tetragonal
distance to the lowest polymorph of the same formula	78	meV per atom
final energy	-43.268	eV per atom
N(E_F)	5.277	states/eV/f.u.


[8]
Material: TcPt2Rh
Method: DFT, SCAN
State: PBEsol geometry

Cell and atoms, written as POSCAR:
```
TcPt2Rh
1.0
3.8252 0.0000 0.0000
0.0000 3.8252 0.0000
0.0000 0.0000 7.7709
Tc Pt Rh
2 4 2
Cartesian
0.0000 0.0000 0.0000
1.9126 1.9126 3.8854
0.0000 0.0000 3.8854
0.0000 1.9126 5.8281
1.9126 0.0000 1.9427
1.9126 1.9126 0.0000
0.0000 1.9126 1.9427
1.9126 0.0000 5.8281
```

Computed properties:
crystal system	tetragonal
distance to the lowest polymorph of the same formula	31	meV per atom
final energy	-52.461	eV per atom
N(E_F)	3.758	states/eV/f.u.


[9]
Material: Tc2PtRh
Method: DFT, SCAN
State: PBEsol geometry

Cell and atoms, written as POSCAR:
```
Tc2PtRh
1.0
2.6923 0.0000 0.0000
0.0000 4.3321 0.0000
0.0000 0.0000 4.7739
Tc Pt Rh
2 1 1
Cartesian
0.0000 0.0000 0.0000
0.0000 2.1661 1.5084
1.3461 2.1661 3.8985
1.3461 0.0000 2.3306
```

Computed properties:
crystal system	orthorhombic
distance to the lowest polymorph of the same formula	0	meV per atom
final energy	-43.758	eV per atom
N(E_F)	3.153	states/eV/f.u.


[10]
Material: TcPt2Rh
Method: DFT, SCAN
State: PBEsol geometry

Cell and atoms, written as POSCAR:
```
TcPt2Rh
1.0
2.7241 0.0000 0.0000
-1.3621 2.3592 0.0000
0.0000 0.0000 26.6380
Tc Pt Rh
3 6 3
Cartesian
0.0000 0.0000 0.0000
0.0000 1.5728 17.7586
1.3621 0.7864 8.8793
0.0000 0.0000 6.6944
0.0000 0.0000 19.9436
0.0000 1.5728 11.0643
0.0000 1.5728 24.4530
1.3621 0.7864 2.1850
1.3621 0.7864 15.5737
0.0000 0.0000 13.3190
0.0000 1.5728 4.4397
1.3621 0.7864 22.1983
```

Computed properties:
crystal system	trigonal
distance to the lowest polymorph of the same formula	95	meV per atom
final energy	-52.397	eV per atom
N(E_F)	4.282	states/eV/f.u.


[11]
Material: Tc2PtRh
Method: DFT, SCAN
State: PBEsol geometry

Cell and atoms, written as POSCAR:
```
Tc2PtRh
1.0
2.7056 0.0000 0.0000
-1.3528 2.3431 0.0000
0.0000 0.0000 26.6065
Tc Pt Rh
6 3 3
Cartesian
0.0000 0.0000 0.0000
0.0000 0.0000 6.7300
0.0000 1.5621 17.7377
0.0000 1.5621 24.4677
1.3528 0.7810 8.8688
1.3528 0.7810 15.5989
0.0000 0.0000 20.0047
0.0000 1.5621 11.1359
1.3528 0.7810 2.2671
0.0000 0.0000 13.4425
0.0000 1.5621 4.5736
1.3528 0.7810 22.3113
```

Computed properties:
crystal system	trigonal
distance to the lowest polymorph of the same formula	147	meV per atom
final energy	-43.611	eV per atom
N(E_F)	3.869	states/eV/f.u.


[12]
Material: TcPt2Rh
Method: DFT, SCAN
State: PBEsol geometry

Cell and atoms, written as POSCAR:
```
TcPt2Rh
1.0
2.7069 0.0000 0.0000
0.0000 3.8484 0.0000
0.0000 0.0000 5.4669
Tc Pt Rh
1 2 1
Cartesian
0.0000 0.0000 0.0000
0.0000 0.0000 2.7950
1.3535 1.9242 1.3611
1.3535 1.9242 4.2065
```

Computed properties:
crystal system	orthorhombic
distance to the lowest polymorph of the same formula	22	meV per atom
final energy	-52.470	eV per atom
N(E_F)	2.949	states/eV/f.u.


[13]
Material: TcPtRh2
Method: DFT, SCAN
State: PBEsol geometry

Cell and atoms, written as POSCAR:
```
TcPtRh2
1.0
3.8112 0.0000 0.0000
0.0000 3.8112 0.0000
0.0000 0.0000 7.6352
Tc Pt Rh
2 2 4
Cartesian
0.0000 0.0000 0.0000
1.9056 1.9056 3.8176
0.0000 0.0000 3.8176
1.9056 1.9056 0.0000
0.0000 1.9056 1.9088
0.0000 1.9056 5.7264
1.9056 0.0000 1.9088
1.9056 0.0000 5.7264
```

Computed properties:
crystal system	tetragonal
distance to the lowest polymorph of the same formula	22	meV per atom
final energy	-43.324	eV per atom
N(E_F)	5.077	states/eV/f.u.


[14]
Material: Tc2PtRh
Method: DFT, SCAN
State: PBEsol geometry

Cell and atoms, written as POSCAR:
```
Tc2PtRh
1.0
8.9836 0.0000 0.0000
0.0000 2.6602 0.0000
-0.7488 0.0000 4.6817
Tc Pt Rh
4 2 2
Cartesian
0.0000 0.0000 0.0000
1.6744 0.0000 3.5144
4.4918 1.3301 0.0000
6.1662 1.3301 3.5144
-0.3670 1.3301 2.3458
4.1248 0.0000 2.3458
2.0121 1.3301 1.1001
6.5039 0.0000 1.1001
```

Computed properties:
crystal system	monoclinic
distance to the lowest polymorph of the same formula	90	meV per atom
final energy	-43.668	eV per atom
N(E_F)	3.652	states/eV/f.u.


[15]
Material: TcPt3Rh
Method: DFT, SCAN
State: PBEsol geometry

Cell and atoms, written as POSCAR:
```
TcPt3Rh
1.0
4.6873 0.0000 0.0000
0.0000 4.6873 0.0000
0.0000 0.0000 4.6873
Tc Pt Rh
1 3 1
Cartesian
0.0000 0.0000 0.0000
0.0000 2.3436 2.3436
2.3436 0.0000 2.3436
2.3436 2.3436 0.0000
2.3436 2.3436 2.3436
```

Computed properties:
crystal system	cubic
final energy	-54.214	eV per atom
N(E_F)	4.283	states/eV/f.u.


[16]
Material: TcPtRh2
Method: DFT, SCAN
State: PBEsol geometry

Cell and atoms, written as POSCAR:
```
TcPtRh2
1.0
8.9657 0.0000 0.0000
0.0000 2.6780 0.0000
-0.7881 0.0000 4.6210
Tc Pt Rh
2 2 4
Cartesian
0.0000 0.0000 0.0000
4.4828 1.3390 0.0000
-0.3941 1.3390 2.3105
4.0888 0.0000 2.3105
2.0208 1.3390 1.1171
1.6739 0.0000 3.5038
6.5036 0.0000 1.1171
6.1568 1.3390 3.5038
```

Computed properties:
crystal system	monoclinic
distance to the lowest polymorph of the same formula	14	meV per atom
final energy	-43.332	eV per atom
N(E_F)	4.244	states/eV/f.u.